# 1
Computed, not measured: a relaxed LaErTl crystal at the PBE level of DFT.

Cell: 5.5148 5.5148 6.8474 Å, 90.00 90.00 120.00°
Fractional positions:
Er1 0.6666 0.8334 0.7500
La1 0.0000 0.5000 0.0000
Tl1 0.3332 0.1668 0.7500
La2 0.0000 0.5000 0.5000
Er2 0.3334 0.1666 0.2500
Tl2 0.6668 0.8332 0.2500

Computed properties:
The total energy comes out at -4.210 eV/atom. The space-group type is P6_3/mmc (194). For the density of states at the Fermi level, the calculation gives 7.77 states/eV per cell.

=====

# 2
Computed, not measured: a relaxed Tb8Sm5Sc crystal at the PBE level of DFT.

Cell: 8.4362 8.4300 8.4362 Å, 110.79 106.94 110.75°
Fractional positions:
Tb1 0.3383 0.2694 0.4380
Sm1 0.8154 0.6827 0.7104
Tb2 0.9310 0.1001 0.6622
Sc1 0.2498 0.5000 0.7498
Tb3 0.6609 0.3957 0.9187
Tb4 0.5621 0.8999 0.8308
Tb5 0.5229 0.6043 0.2652
Tb6 0.1686 0.7306 0.0689
Sm2 0.0277 0.3173 0.1327
Sm3 0.5000 0.0000 0.5000
Sm4 0.8675 0.8952 0.1850
Tb7 0.0814 0.7424 0.4771
Tb8 0.7347 0.2576 0.3390
Sm5 0.2898 0.1048 0.9722

Computed properties:
The total energy comes out at -4.529 eV/atom. The space-group type is I-4 (82). For the density of states at the Fermi level, the calculation gives 19.69 states/eV per cell.

=====

# 3
Computed, not measured: a relaxed SiBr2N crystal at the PBE level of DFT.

Cell: 4.9493 4.9493 4.9493 Å, 60.00 60.00 60.00°
Last column: magnetic moment on the atom in μB.
Fractional positions:
Br1 0.2500 0.2500 0.2500  0.11
Si1 0.5000 0.5000 0.5000  0.03
N1 0.0000 0.0000 0.0000  1.78
Br2 0.7500 0.7500 0.7500  0.11

Computed properties:
The total energy comes out at -2.941 eV/atom. The formation energy (no corrections) is 1332 meV/atom. The space-group type is Fm-3m (225). For the density of states at the Fermi level, the calculation gives 0.00 states/eV per cell.

=====

# 4
Computed, not measured: a relaxed Pr2Nd4Sm3 crystal at the PBE level of DFT.

Cell: 5.1959 6.3667 11.0212 Å, 73.17 89.98 65.97°
Fractional positions:
Nd1 0.6663 0.6675 0.8888
Sm1 0.6661 0.6677 0.5550
Sm2 0.3339 0.3323 0.4450
Pr1 0.3328 0.3344 0.7770
Sm3 0.0000 0.0000 0.0000
Nd2 0.9991 0.0016 0.6658
Nd3 0.3337 0.3325 0.1112
Nd4 0.0009 0.9984 0.3342
Pr2 0.6672 0.6656 0.2230

Computed properties:
The total energy comes out at -4.740 eV/atom. The space-group type is P-1 (2). For the density of states at the Fermi level, the calculation gives 13.60 states/eV per cell.

=====

# 5
Computed, not measured: a relaxed TbTh2Fe9 crystal at the PBE level of DFT.

Cell: 5.1341 5.1341 8.7661 Å, 72.97 72.97 60.00°
Last column: magnetic moment on the atom in μB.
Fractional positions:
Fe1 0.5000 0.5000 0.5000  1.86
Fe2 0.4204 0.9179 0.2414  2.14
Fe3 0.9179 0.4204 0.2414  2.14
Fe4 0.6672 0.6672 0.9983  2.42
Tb1 0.0000 0.0000 0.0000  -0.37
Fe5 0.5796 0.5796 0.7586  2.14
Th1 0.8596 0.8596 0.4212  -0.43
Th2 0.1404 0.1404 0.5788  -0.43
Fe6 0.5796 0.0821 0.7586  2.14
Fe7 0.0821 0.5796 0.7586  2.14
Fe8 0.4204 0.4204 0.2414  2.14
Fe9 0.3328 0.3328 0.0017  2.42

Computed properties:
The total energy comes out at -8.031 eV/atom. The space-group type is R-3m (166). For the density of states at the Fermi level, the calculation gives 10.65 states/eV per cell.

=====

# 6
Computed, not measured: a relaxed BaSr4In5 crystal at the PBE level of DFT.

Cell: 4.1405 4.1405 20.3233 Å, 90.00 90.00 90.00°
Fractional positions:
In1 0.5000 0.5000 0.5000
Sr1 0.0000 0.0000 0.7932
Sr2 0.0000 0.0000 0.4023
In2 0.5000 0.5000 0.1118
In3 0.5000 0.5000 0.3036
Ba1 0.0000 0.0000 0.0000
Sr3 0.0000 0.0000 0.5977
In4 0.5000 0.5000 0.6964
Sr4 0.0000 0.0000 0.2068
In5 0.5000 0.5000 0.8882

Computed properties:
The total energy comes out at -2.657 eV/atom. The space-group type is P4/mmm (123). For the density of states at the Fermi level, the calculation gives 7.62 states/eV per cell.

=====

# 7
Computed, not measured: a relaxed SrSmBr6 crystal at the PBE level of DFT.

Cell: 8.3320 8.3320 8.3320 Å, 60.00 60.00 60.00°
Fractional positions:
Br1 0.7417 0.2583 0.2583
Br2 0.7417 0.2583 0.7417
Sr1 0.0000 0.0000 0.0000
Br3 0.2583 0.7417 0.7417
Br4 0.2583 0.2583 0.7417
Br5 0.2583 0.7417 0.2583
Sm1 0.5000 0.5000 0.5000
Br6 0.7417 0.7417 0.2583

Computed properties:
The total energy comes out at -3.615 eV/atom. The formation energy (no corrections) is -1560 meV/atom. The space-group type is Fm-3m (225). For the density of states at the Fermi level, the calculation gives 13.46 states/eV per cell.

=====

# 8
Computed, not measured: a relaxed LiNdRh4O8 crystal at the PBE level of DFT.

Cell: 6.3424 6.3424 6.2347 Å, 59.43 59.43 60.00°
Last column: magnetic moment on the atom in μB.
Fractional positions:
O1 0.7653 0.7653 0.7041  0.08
O2 0.2113 0.7499 0.2889  0.09
O3 0.7499 0.7499 0.2889  0.09
Rh1 0.6205 0.6205 0.1384  1.57
Rh2 0.0004 0.0004 0.4972  -0.03
O4 0.2372 0.2372 0.7169  0.00
O5 0.7499 0.2113 0.2889  0.09
Rh3 0.0004 0.5019 0.4972  -0.03
O6 0.2372 0.8087 0.7169  0.00
Nd1 0.3829 0.3829 0.8512  0.00
Li1 0.0023 0.0023 0.9930  0.00
O7 0.8087 0.2372 0.7169  0.00
O8 0.2319 0.2319 0.3042  0.02
Rh4 0.5019 0.0004 0.4972  -0.03

Computed properties:
The total energy comes out at -6.578 eV/atom. The formation energy (no corrections) is -1167 meV/atom. The space-group type is R3m (160). For the density of states at the Fermi level, the calculation gives 6.13 states/eV per cell.

=====

# 9
Computed, not measured: a relaxed SrAsSe crystal at the PBE level of DFT.

Cell: 4.8295 4.8315 8.1305 Å, 96.61 96.65 101.93°
Fractional positions:
As1 0.6182 0.7607 0.6934
Se1 0.2208 0.9358 0.1083
As2 0.9788 0.1201 0.8584
Sr1 0.2244 0.1144 0.4991
Se2 0.8020 0.5185 0.4434
Sr2 0.6246 0.5135 0.0522

Computed properties:
The total energy comes out at -4.378 eV/atom. The formation energy (no corrections) is -1106 meV/atom. The space-group type is P1 (1).

=====

# 10
Computed, not measured: a relaxed Hf4AlC2 crystal at the PBE level of DFT.

Cell: 3.3764 5.8933 11.8330 Å, 90.00 90.00 106.65°
Fractional positions:
C1 0.8644 0.7289 0.9404
C2 0.8644 0.7289 0.5596
Hf1 0.7604 0.5209 0.1052
Hf2 0.5000 0.0000 0.5000
Hf3 0.5000 0.0000 0.0000
Hf4 0.7604 0.5209 0.3948
Al1 0.6093 0.2186 0.7500
Hf5 0.2396 0.4791 0.6052
Hf6 0.2396 0.4791 0.8948
Al2 0.3907 0.7814 0.2500
C3 0.1356 0.2711 0.0596
Hf7 0.9177 0.8354 0.7500
C4 0.1356 0.2711 0.4404
Hf8 0.0823 0.1646 0.2500

Computed properties:
The total energy comes out at -9.509 eV/atom. The space-group type is Cmcm (63). For the density of states at the Fermi level, the calculation gives 7.13 states/eV per cell.